# 1
A geometry-optimized TbNdDy2S6 structure. Source: the Alexandria database, functional PBE.

Cell: 6.9957 6.9957 18.5948 Å, 90.00 90.00 120.00°
Space group R3 (No. 146, hexagonal axes)
Symmetry-distinct sites (fractional):
Tb: 0.0000 0.0000 0.0000 x3
Nd: 0.0000 0.0000 0.5045 x3
Dy: 0.0000 0.0000 0.3001 x3
Dy: 0.0000 0.0000 0.7974 x3
S: 0.0051 0.3052 0.3973 x9
S: 0.0181 0.7144 0.8979 x9

- DFT total energy (eV per atom) = -6.384
- M_tot (μB/f.u.) = 0.00
- uncorrected formation energy (eV/f.u.) = -20.48

# 2
A geometry-optimized CdHPt2 structure. Source: the Alexandria database, functional PBE.

Cell: 2.9658 2.9658 21.0227 Å, 90.00 90.00 120.00°
Space group R-3m (No. 166, hexagonal axes)
Symmetry-distinct sites (fractional):
Cd: 0.0000 0.0000 0.0000 x3
H: 0.0000 0.0000 0.5000 x3
Pt: 0.0000 0.0000 0.2245 x6

- DFT total energy (eV per atom) = -4.112
- energy above the lowest structure with this stoichiometry (kJ/mol of formula units) = 13
- M_tot (μB/f.u.) = 0.00

# 3
A geometry-optimized HfPAuS2 structure. Source: the Alexandria database, functional PBE.

Cell: 4.7312 4.7312 4.7301 Å, 90.00 90.00 90.00°
Space group P4/mmm (No. 123)
Symmetry-distinct sites (fractional):
Hf: 0.0000 0.0000 0.0000 x1
P: 0.5000 0.5000 0.0000 x1
Au: 0.5000 0.5000 0.5000 x1
S: 0.0000 0.5000 0.5000 x2

- DFT total energy (eV per atom) = -4.760
- energy above the lowest structure with this stoichiometry (kJ/mol of formula units) = 244
- M_tot (μB/f.u.) = 0.00
- uncorrected formation energy (eV/f.u.) = 3.10

# 4
A geometry-optimized Sm2TmHg6 structure. Source: the Alexandria database, functional PBE.

Cell: 14.4997 11.7904 5.4660 Å, 90.00 100.00 90.00°
Space group C2/c (No. 15)
Symmetry-distinct sites (fractional):
Sm: 0.1668 0.1260 0.0828 x8
Tm: 0.0000 0.3764 0.2500 x4
Hg: 0.0560 0.1287 0.5290 x8
Hg: 0.1083 0.3772 0.8039 x8
Hg: 0.2179 0.3756 0.3625 x8

- DFT total energy (eV per atom) = -2.145
- ΔH_f (0 K) (meV per atom) = -398.5
- M_tot (μB/f.u.) = 0.00